Entry 1:
Below is crystalline Th2PtRhAu at its relaxed geometry, with properties calculated at the PBE level.

The structure in extended XYZ format:
```
10
Lattice="7.8566 0.0000 0.0000 0.0000 4.2478 0.0000 -3.1356 0.0000 7.2116" Properties=species:S:1:pos:R:3 pbc="T T T"
Th 0.2144 1.0619 2.7211
Th -0.8077 1.0619 6.9789
Th 5.5288 3.1858 0.2327
Th 4.5067 3.1858 4.4905
Pt 3.0103 3.1858 1.8710
Pt 1.7107 1.0619 5.3406
Rh 0.5410 3.1858 0.8132
Rh 4.1800 1.0619 6.3984
Au -0.2004 3.1858 4.8555
Au 4.9214 1.0619 2.3561
```

Computed properties:
Its symmetry is P2_1/m (11). The value obtained for the magnetic moment is 0.00 μB/cell. The calculation puts the uncorrected energy at -7.140 eV/atom. The calculation puts the formation enthalpy at 0 K at -0.84 eV/atom.

Entry 2:
Below is crystalline ThPtRhAu at its relaxed geometry, with properties calculated at the PBE level.

The structure in extended XYZ format:
```
4
Lattice="3.9963 0.0000 0.0000 0.0000 4.2478 0.0000 0.0000 0.0000 4.5214" Properties=species:S:1:pos:R:3 pbc="T T T"
Th 0.0000 0.0000 0.0000
Pt 1.9982 0.0000 2.2607
Rh 1.9982 2.1239 0.0000
Au 0.0000 2.1239 2.2607
```

Computed properties:
Its symmetry is Pmmm (47). The value obtained for the magnetic moment is 0.00 μB/cell. As for the distance to the lowest polymorph of the same formula: 0.00 eV per formula unit. The calculation puts the uncorrected energy at -6.889 eV/atom. The calculation puts the formation enthalpy at 0 K at -0.87 eV/atom.

Entry 3:
Below is crystalline TiPtRhAu at its relaxed geometry, with properties calculated at the PBE level.

The structure in extended XYZ format:
```
8
Lattice="4.0280 0.0000 0.0000 0.0000 4.0280 0.0000 0.0000 0.0000 7.7100" Properties=species:S:1:pos:R:3 pbc="T T T"
Ti 0.0000 0.0000 0.0000
Ti 2.0140 2.0140 3.8550
Pt 0.0000 2.0140 5.7825
Pt 2.0140 0.0000 1.9275
Rh 0.0000 2.0140 1.9275
Rh 2.0140 0.0000 5.7825
Au 0.0000 0.0000 3.8550
Au 2.0140 2.0140 0.0000
```

Computed properties:
Its symmetry is I-4m2 (119). The value obtained for the magnetic moment is 0.00 μB/cell. The calculation puts the uncorrected energy at -6.735 eV/atom. The calculation puts the formation enthalpy at 0 K at -0.59 eV/atom.

Entry 4:
Below is crystalline TmPtRhAu at its relaxed geometry, with properties calculated at the PBE level.

The structure in extended XYZ format:
```
16
Lattice="6.5950 0.0000 0.0000 0.0000 6.5950 0.0000 0.0000 0.0000 6.5950" Properties=species:S:1:pos:R:3 pbc="T T T"
Tm 0.0000 0.0000 0.0000
Tm 0.0000 3.2975 3.2975
Tm 3.2975 0.0000 3.2975
Tm 3.2975 3.2975 0.0000
Pt 1.6488 1.6488 4.9463
Pt 1.6488 4.9463 1.6488
Pt 4.9463 1.6488 1.6488
Pt 4.9463 4.9463 4.9463
Rh 1.6488 1.6488 1.6488
Rh 1.6488 4.9463 4.9463
Rh 4.9463 1.6488 4.9463
Rh 4.9463 4.9463 1.6488
Au 0.0000 0.0000 3.2975
Au 0.0000 3.2975 0.0000
Au 3.2975 0.0000 0.0000
Au 3.2975 3.2975 3.2975
```

Computed properties:
Its symmetry is F-43m (216). The value obtained for the magnetic moment is 0.00 μB/cell. As for the distance to the lowest polymorph of the same formula: 0.71 eV per formula unit. The calculation puts the uncorrected energy at -5.938 eV/atom. The calculation puts the formation enthalpy at 0 K at -0.65 eV/atom.

Entry 5:
Below is crystalline TmPtRhAu at its relaxed geometry, with properties calculated at the PBE level.

The structure in extended XYZ format:
```
4
Lattice="3.9848 0.0000 0.0000 0.0000 4.1535 0.0000 0.0000 0.0000 4.2092" Properties=species:S:1:pos:R:3 pbc="T T T"
Tm 0.0000 0.0000 0.0000
Pt 1.9924 0.0000 2.1046
Rh 1.9924 2.0768 0.0000
Au 0.0000 2.0768 2.1046
```

Computed properties:
Its symmetry is Pmmm (47). The value obtained for the magnetic moment is 0.00 μB/cell. As for the distance to the lowest polymorph of the same formula: 0.00 eV per formula unit. The calculation puts the uncorrected energy at -6.115 eV/atom. The calculation puts the formation enthalpy at 0 K at -0.83 eV/atom.

Entry 6:
Below is crystalline YPtRhAu at its relaxed geometry, with properties calculated at the PBE level.

The structure in extended XYZ format:
```
16
Lattice="6.6553 0.0000 0.0000 0.0000 6.6553 0.0000 0.0000 0.0000 6.6553" Properties=species:S:1:pos:R:3 pbc="T T T"
Y 0.0000 0.0000 0.0000
Y 0.0000 3.3276 3.3276
Y 3.3276 0.0000 3.3276
Y 3.3276 3.3276 0.0000
Pt 1.6638 1.6638 1.6638
Pt 1.6638 4.9914 4.9914
Pt 4.9914 1.6638 4.9914
Pt 4.9914 4.9914 1.6638
Rh 1.6638 1.6638 4.9914
Rh 1.6638 4.9914 1.6638
Rh 4.9914 1.6638 1.6638
Rh 4.9914 4.9914 4.9914
Au 0.0000 0.0000 3.3276
Au 0.0000 3.3276 0.0000
Au 3.3276 0.0000 0.0000
Au 3.3276 3.3276 3.3276
```

Computed properties:
Its symmetry is F-43m (216). The value obtained for the magnetic moment is 0.00 μB/cell. As for the distance to the lowest polymorph of the same formula: 0.68 eV per formula unit. The calculation puts the uncorrected energy at -6.368 eV/atom. The calculation puts the formation enthalpy at 0 K at -0.58 eV/atom.

Entry 7:
Below is crystalline YPtRhAu at its relaxed geometry, with properties calculated at the PBE level.

The structure in extended XYZ format:
```
4
Lattice="4.0142 0.0000 0.0000 0.0000 4.1941 0.0000 0.0000 0.0000 4.2553" Properties=species:S:1:pos:R:3 pbc="T T T"
Y 0.0000 0.0000 0.0000
Pt 2.0071 0.0000 2.1276
Rh 2.0071 2.0970 0.0000
Au 0.0000 2.0970 2.1276
```

Computed properties:
Its symmetry is Pmmm (47). The value obtained for the magnetic moment is 0.00 μB/cell. As for the distance to the lowest polymorph of the same formula: 0.00 eV per formula unit. The calculation puts the uncorrected energy at -6.538 eV/atom. The calculation puts the formation enthalpy at 0 K at -0.75 eV/atom.

Entry 8:
Below is crystalline RuPtAu2 at its relaxed geometry, with properties calculated at the PBE level.

The structure in extended XYZ format:
```
4
Lattice="2.8354 0.0000 0.0000 0.0000 2.8354 0.0000 0.0000 0.0000 8.1779" Properties=species:S:1:pos:R:3 pbc="T T T"
Ru 0.0000 0.0000 0.0000
Pt 1.4177 1.4177 6.4232
Au 0.0000 0.0000 4.2761
Au 1.4177 1.4177 2.0518
```

Computed properties:
Its symmetry is P4mm (99). The value obtained for the magnetic moment is 0.00 μB/cell. As for the distance to the lowest polymorph of the same formula: 0.00 eV per formula unit. The calculation puts the uncorrected energy at -5.327 eV/atom. The calculation puts the formation enthalpy at 0 K at 0.14 eV/atom.

Entry 9:
Below is crystalline RuPtAu4 at its relaxed geometry, with properties calculated at the PBE level.

The structure in extended XYZ format:
```
6
Lattice="0.0000 3.8136 3.8136 3.8136 0.0000 3.8136 3.8136 3.8136 0.0000" Properties=species:S:1:pos:R:3 pbc="T T T"
Ru 0.0000 0.0000 0.0000
Pt 1.9068 1.9068 1.9068
Au 4.7666 2.8605 2.8605
Au 2.8605 4.7666 2.8605
Au 2.8605 2.8605 4.7666
Au 4.7666 4.7666 4.7666
```

Computed properties:
Its symmetry is F-43m (216). The value obtained for the magnetic moment is 2.97 μB/cell. The calculation puts the uncorrected energy at -4.132 eV/atom. The calculation puts the formation enthalpy at 0 K at 0.61 eV/atom.

Entry 10:
Below is crystalline RuPtAu2 at its relaxed geometry, with properties calculated at the PBE level.

The structure in extended XYZ format:
```
8
Lattice="9.3612 0.0000 0.0000 0.0000 2.8032 0.0000 -0.8067 0.0000 5.0197" Properties=species:S:1:pos:R:3 pbc="T T T"
Ru 0.0000 0.0000 0.0000
Ru 4.6806 1.4016 0.0000
Pt 2.0777 1.4016 1.0211
Pt 6.7583 0.0000 1.0211
Au 1.7608 0.0000 3.6363
Au 4.2362 0.0000 2.4261
Au 6.4414 1.4016 3.6363
Au 8.9168 1.4016 2.4261
```

Computed properties:
Its symmetry is Cm (8). The value obtained for the magnetic moment is 2.13 μB/cell. As for the distance to the lowest polymorph of the same formula: 0.45 eV per formula unit. The calculation puts the uncorrected energy at -5.215 eV/atom. The calculation puts the formation enthalpy at 0 K at 0.25 eV/atom.

Entry 11:
Below is crystalline RuPt2Au at its relaxed geometry, with properties calculated at the PBE level.

The structure in extended XYZ format:
```
4
Lattice="2.8101 0.0000 0.0000 0.0000 3.8844 0.0000 0.0000 0.0000 5.8009" Properties=species:S:1:pos:R:3 pbc="T T T"
Ru 0.0000 0.0000 0.0000
Pt 0.0000 0.0000 3.0593
Pt 1.4050 1.9422 4.5337
Au 1.4050 1.9422 1.5365
```

Computed properties:
Its symmetry is Pmm2 (25). The value obtained for the magnetic moment is 0.00 μB/cell. As for the distance to the lowest polymorph of the same formula: 0.50 eV per formula unit. The calculation puts the uncorrected energy at -5.994 eV/atom. The calculation puts the formation enthalpy at 0 K at 0.16 eV/atom.

Entry 12:
Below is crystalline RuPt2Au at its relaxed geometry, with properties calculated at the PBE level.

The structure in extended XYZ format:
```
4
Lattice="4.8180 0.0000 0.0000 0.0000 4.8180 0.0000 0.0000 0.0000 2.7799" Properties=species:S:1:pos:R:3 pbc="T T T"
Ru 0.0000 0.0000 0.0000
Pt 0.0000 2.4090 1.3899
Pt 2.4090 0.0000 1.3899
Au 2.4090 2.4090 0.0000
```

Computed properties:
Its symmetry is P4/mmm (123). The value obtained for the magnetic moment is 1.29 μB/cell. As for the distance to the lowest polymorph of the same formula: 0.95 eV per formula unit. The calculation puts the uncorrected energy at -5.880 eV/atom. The calculation puts the formation enthalpy at 0 K at 0.28 eV/atom.

Entry 13:
Below is crystalline RuPt2Au at its relaxed geometry, with properties calculated at the PBE level.

The structure in extended XYZ format:
```
16
Lattice="6.3803 0.0000 0.0000 0.0000 6.3803 0.0000 0.0000 0.0000 6.3803" Properties=species:S:1:pos:R:3 pbc="T T T"
Ru 0.0000 0.0000 0.0000
Ru 0.0000 3.1901 3.1901
Ru 3.1901 0.0000 3.1901
Ru 3.1901 3.1901 0.0000
Pt 1.5951 1.5951 1.5951
Pt 1.5951 1.5951 4.7852
Pt 1.5951 4.7852 1.5951
Pt 1.5951 4.7852 4.7852
Pt 4.7852 1.5951 1.5951
Pt 4.7852 1.5951 4.7852
Pt 4.7852 4.7852 1.5951
Pt 4.7852 4.7852 4.7852
Au 0.0000 0.0000 3.1901
Au 0.0000 3.1901 0.0000
Au 3.1901 0.0000 0.0000
Au 3.1901 3.1901 3.1901
```

Computed properties:
Its symmetry is Fm-3m (225). The value obtained for the magnetic moment is 7.96 μB/cell. As for the distance to the lowest polymorph of the same formula: 1.15 eV per formula unit. The calculation puts the uncorrected energy at -5.831 eV/atom. The calculation puts the formation enthalpy at 0 K at 0.33 eV/atom.

Entry 14:
Below is crystalline Ru2PtAu at its relaxed geometry, with properties calculated at the PBE level.

The structure in extended XYZ format:
```
12
Lattice="2.7771 0.0000 0.0000 -1.3886 2.4051 0.0000 0.0000 0.0000 27.7681" Properties=species:S:1:pos:R:3 pbc="T T T"
Ru 0.0000 0.0000 0.0000
Ru 0.0000 0.0000 7.2669
Ru 0.0000 1.6034 18.5120
Ru 0.0000 1.6034 25.7789
Ru 1.3886 0.8017 9.2560
Ru 1.3886 0.8017 16.5229
Pt 0.0000 0.0000 14.2035
Pt 0.0000 1.6034 4.9474
Pt 1.3886 0.8017 23.4595
Au 0.0000 0.0000 20.9667
Au 0.0000 1.6034 11.7107
Au 1.3886 0.8017 2.4547
```

Computed properties:
Its symmetry is R3m (160). The value obtained for the magnetic moment is 0.00 μB/cell. As for the distance to the lowest polymorph of the same formula: 0.04 eV per formula unit. The calculation puts the uncorrected energy at -6.865 eV/atom. The calculation puts the formation enthalpy at 0 K at 0.10 eV/atom.